No. 1
{
  "formula": "Ho2Co3Tc",
  "functional": "PBE-GGA",
  "state": "relaxed",
  "formation_energy_mev_per_atom": -186,
  "space_group": "P6_3/mmc, No. 194",
  "lattice_angstrom": [[-2.389, 3.192, -3.312], [-2.117, -0.993, 4.626], [4.010, 6.311, 3.190]],
  "species": ["Ho", "Ho", "Ho", "Ho", "Co", "Co", "Co", "Co", "Co", "Co", "Tc", "Tc"],
  "frac_coords": [[0.667, 0.333, 0.437], [0.333, 0.667, 0.563], [0.333, 0.667, 0.937], [0.667, 0.333, 0.063], [0.167, 0.334, 0.250], [0.334, 0.167, 0.750], [0.833, 0.666, 0.750], [0.167, 0.833, 0.250], [0.833, 0.167, 0.750], [0.666, 0.833, 0.250], [0.000, 0.000, 0.500], [0.000, 0.000, 0.000]]
}

***

No. 2
{
  "formula": "CoReIr",
  "functional": "PBE-GGA",
  "state": "relaxed",
  "de_polymorph_mev_per_atom": 251,
  "formation_energy_mev_per_atom": 163,
  "space_group": "I4mm, No. 107",
  "lattice_angstrom": [[-3.926, 2.065, -1.558], [-4.162, -2.166, -0.301], [3.563, 0.689, 2.990]],
  "species": ["Co", "Ir", "Re"],
  "frac_coords": [[0.011, 0.011, 0.000], [0.337, 0.337, 0.000], [0.652, 0.652, 0.000]]
}

***

No. 3
{
  "formula": "Na4Tl3GeO8",
  "functional": "PBE-GGA",
  "state": "relaxed",
  "space_group": "R-3m, No. 166",
  "formation_energy_uncorrected_mev_per_atom": -1173,
  "lattice_angstrom": [[6.721, 0.000, 0.000], [0.000, 6.775, 0.033], [-3.361, -3.357, 4.758]],
  "species": ["Na", "Na", "Na", "Na", "Tl", "Tl", "Tl", "Ge", "O", "O", "O", "O", "O", "O", "O", "O"],
  "frac_coords": [[0.500, 0.000, 0.000], [0.500, 0.000, 0.500], [0.000, 0.000, 0.000], [0.000, 0.000, 0.500], [0.500, 0.500, 0.000], [0.500, 0.500, 0.500], [0.000, 0.500, 0.500], [0.000, 0.500, 0.000], [0.212, 0.707, 0.995], [0.211, 0.707, 0.423], [0.259, 0.276, 0.517], [0.784, 0.707, 0.995], [0.216, 0.293, 0.005], [0.741, 0.724, 0.483], [0.789, 0.293, 0.577], [0.788, 0.293, 0.005]]
}

***

No. 4
{
  "formula": "LiVCr2B",
  "functional": "PBE-GGA",
  "state": "relaxed",
  "formation_energy_mev_per_atom": 448,
  "space_group": "P4/mmm, No. 123",
  "lattice_angstrom": [[-1.696, 3.266, 1.298], [-3.192, -0.681, -2.458], [-1.748, -2.035, 2.835]],
  "species": ["Cr", "Cr", "B", "Li", "V"],
  "frac_coords": [[0.000, 0.000, 0.500], [0.500, 0.000, 0.000], [0.000, 0.000, 0.000], [0.500, 0.500, 0.500], [0.000, 0.500, 0.000]]
}

***

No. 5
{
  "formula": "CsPOsS2",
  "functional": "PBE-GGA",
  "state": "relaxed",
  "de_polymorph_mev_per_atom": 2560,
  "space_group": "P4/mmm, No. 123",
  "formation_energy_uncorrected_mev_per_atom": 2687,
  "lattice_angstrom": [[-3.872, 3.513, -0.517], [-2.375, -1.993, 4.241], [2.872, 3.656, 3.326]],
  "species": ["Cs", "P", "S", "S", "Os"],
  "frac_coords": [[0.000, 0.000, 0.000], [0.000, 0.000, 0.500], [0.000, 0.500, 0.000], [0.500, 0.000, 0.000], [0.500, 0.500, 0.500]]
}

***

No. 6
{
  "formula": "TaAlHg2",
  "functional": "PBE-GGA",
  "state": "relaxed",
  "formation_energy_mev_per_atom": 627,
  "space_group": "F-43m, No. 216",
  "lattice_angstrom": [[4.820, 0.000, 0.000], [2.410, 4.174, 0.000], [2.410, 1.391, 3.935]],
  "species": ["Al", "Hg", "Hg", "Ta"],
  "frac_coords": [[0.500, 0.500, 0.500], [0.000, 0.000, 0.000], [0.250, 0.250, 0.250], [0.750, 0.750, 0.750]]
}

***

No. 7
{
  "formula": "Ca2Ac6Dy",
  "functional": "PBE-GGA",
  "state": "relaxed",
  "de_polymorph_mev_per_atom": 205,
  "formation_energy_mev_per_atom": 290,
  "space_group": "Cmmm, No. 65",
  "lattice_angstrom": [[-2.838, 4.995, 1.189], [-4.437, -4.207, 7.078], [2.773, -0.547, 8.916]],
  "species": ["Ca", "Ca", "Ac", "Ac", "Ac", "Ac", "Ac", "Ac", "Dy"],
  "frac_coords": [[0.500, 0.224, 0.224], [0.500, 0.776, 0.776], [0.000, 0.574, 0.139], [0.000, 0.861, 0.426], [0.000, 0.426, 0.861], [0.500, 0.744, 0.256], [0.000, 0.139, 0.574], [0.500, 0.256, 0.744], [0.000, 0.000, 0.000]]
}

***

No. 8
{
  "formula": "ZrZn8Cu4",
  "functional": "PBE-GGA",
  "state": "relaxed",
  "formation_energy_mev_per_atom": -163,
  "space_group": "I4/mmm, No. 139",
  "lattice_angstrom": [[-2.568, 4.154, -0.590], [-1.876, 0.859, -6.295], [-6.497, -0.984, 0.840]],
  "species": ["Zr", "Zn", "Zn", "Zn", "Zn", "Zn", "Zn", "Zn", "Zn", "Cu", "Cu", "Cu", "Cu"],
  "frac_coords": [[0.000, 0.000, 0.000], [0.000, 0.344, 0.656], [0.000, 0.656, 0.344], [0.344, 0.656, 0.656], [0.656, 0.344, 0.344], [0.500, 0.786, 0.214], [0.500, 0.214, 0.786], [0.286, 0.214, 0.214], [0.714, 0.786, 0.786], [0.000, 0.000, 0.500], [0.500, 0.000, 0.500], [0.000, 0.500, 0.000], [0.500, 0.500, 0.000]]
}